CrHg2Te | PBE | relaxed

As for the total magnetization: 4.23 μB/cell. Its uncorrected formation energy is 0.19 eV per atom.

Unit cell a=6.9899 b=6.9826 c=4.0670 alpha=73.18 beta=72.98 gamma=33.84
Fractional coordinates of all 4 atoms:
Cr  0.0000  0.0000  0.0000
Hg  0.0000  0.5000  0.5000
Hg  0.5000  0.0000  0.0000
Te  0.5000  0.5000  0.5000